Compound: MnAsSeBr2
Source: the Alexandria database
Functional: PBE
Structure: optimized geometry

Lattice parameters (Å, degrees): 5.3259 5.3259 5.2073 90.00 90.00 90.00
Closest atoms and distances in Å follow each position.
Atoms (fractional coordinates):
1 Br 0.5000 0.0000 0.0000  2 Se 2.66
2 Br 0.0000 0.5000 0.0000  2 Se 2.66
3 Mn 0.5000 0.5000 0.5000  8 Br 3.72, 4 As 3.77
4 Se 0.0000 0.0000 0.0000  2 As 2.60, 4 Br 2.66
5 As 0.0000 0.0000 0.5000  2 Se 2.60

Calculated values
V = 29.54 A^3/atom
ΔE to the lowest computed polymorph = 0.359 eV per atom
Final energy = -3.4488 eV/atom
Total moment = 5.118 Bohr magnetons per cell
Symmetry = P4/mmm (123)
E_form (uncorrected) = 0.6810 eV per atom

=====

Compound: MnCrCo2
Source: the Alexandria database
Functional: PBE
Structure: optimized geometry

Lattice parameters (Å, degrees): 4.0338 2.4546 4.6709 79.14 90.00 90.00
Closest atoms and distances in Å follow each position.
Atoms (fractional coordinates):
1 Cr 0.5000 0.2500 0.2500  2 Mn 2.42, 2 Cr 2.45, 4 Co 2.47
2 Co 0.0000 0.5048 0.4995  4 Co 2.41-2.45, 2 Mn 2.46, 2 Cr 2.47
3 Co 0.0000 0.9952 0.0005  4 Co 2.41-2.45, 2 Mn 2.46, 2 Cr 2.47
4 Mn 0.5000 0.7500 0.7500  2 Cr 2.42, 2 Mn 2.45, 4 Co 2.46

Calculated values
V = 11.35 A^3/atom
Final energy = -8.1039 eV/atom
Total moment = 5.049 Bohr magnetons per cell
Symmetry = P2/m (10)

=====

Compound: Sm4GeP2Cl
Source: the Alexandria database
Functional: PBE
Structure: optimized geometry

Lattice parameters (Å, degrees): 4.1222 7.1898 7.1489 71.06 90.00 90.00
Closest atoms and distances in Å follow each position.
Atoms (fractional coordinates):
1 P 0.5000 0.0000 0.5000  6 Sm 2.82-2.85
2 P 0.0000 0.0000 0.0000  6 Sm 2.90
3 Sm 0.5000 0.2396 0.7487  3 P 2.85-2.90, 2 Ge 2.96, 1 Cl 2.99
4 Sm 0.5000 0.7604 0.2513  3 P 2.85-2.90, 2 Ge 2.96, 1 Cl 2.99
5 Sm 0.0000 0.2298 0.2668  3 P 2.82-2.90, 1 Ge 2.94, 2 Cl 3.04
6 Sm 0.0000 0.7702 0.7332  3 P 2.82-2.90, 1 Ge 2.94, 2 Cl 3.04
7 Ge 0.0000 0.5000 0.5000  6 Sm 2.94-2.96
8 Cl 0.5000 0.5000 0.0000  6 Sm 2.99-3.04

Calculated values
V = 25.05 A^3/atom
Final energy = -5.9684 eV/atom
Total moment = 0.000 Bohr magnetons per cell
Symmetry = P2/m (10)
E_form (uncorrected) = -1.4484 eV per atom